12
Lattice="6.061 0.002 0.008 -3.028 5.251 0.008 -1.020 -1.767 11.418" Properties=species:S:1:pos:R:3 comment="GGA-PBE PmDy6Ho3Sc2, relaxed" formation_enthalpy_0k_ev_per_fu=0.4 sg="No. 12" pbc="T T T"
Dy 3.030 1.721 8.612
Dy -0.023 3.485 8.612
Dy 0.000 -0.001 8.606
Dy -1.017 1.764 2.821
Dy 2.036 0.001 2.821
Dy 2.014 3.486 2.828
Sc 0.002 3.501 0.008
Sc 3.032 1.751 0.008
Ho 4.032 -0.004 5.717
Ho 1.007 1.743 5.717
Ho -2.019 3.490 5.717
Pm 0.000 0.000 0.000